First-principles (PBE) data for a geometry-optimized Ta2PbCl structure, as listed in the Alexandria database.

Lattice parameters (Å, degrees): 3.0042 4.6852 6.0654 90.00 104.31 90.00
Closest atoms and distances in Å follow each position.
Atoms (fractional coordinates):
Ta  0.0000  0.0000  0.0000  2 Cl 2.48
Ta  0.3962  0.5000  0.7890  2 Cl 2.53
Pb  0.7433  0.0000  0.4879  2 Pb 3.00, 7 Ta 3.01-3.30
Cl  0.0695  0.5000  0.1364  4 Ta 2.48-2.53

## Properties
* excess energy over the best structure of this formula in the dataset: 0.353 eV/atom
* total magnetization: 0.00 μB per cell
* total DFT energy (no corrections): -7.0416 eV/atom